[1]
This record from Alexandria describes TbNdTh2Rh4 after structural relaxation. The functional is PBE-GGA.

E_form: -0.753 eV/atom
Spin magnetization: 0.000 μB/f.u.

abc: 7.0370 5.7758 6.8807
angles: 66.90 49.02 64.08
With the nearest neighbours (Å) after each atom.
Positions (direct):
Tb  0.0000  0.0000  0.0000  6 Rh 2.75-2.97
Nd  0.4299  0.4299  0.5701  6 Rh 2.87-3.01
Th  0.1605  0.1605  0.3395  6 Rh 2.87-2.92
Th  0.6605  0.6605  0.8395  6 Rh 2.87-2.92
Rh  0.1394  0.6721  0.3279  1 Tb 2.75, 4 Th 2.87-2.92, 1 Nd 3.01
Rh  0.5119  0.9155  0.4881  2 Nd 2.87-2.98, 2 Th 2.88, 2 Tb 2.89-2.97, 1 Rh 3.19
Rh  0.6721  0.1394  0.8606  1 Tb 2.75, 4 Th 2.87-2.92, 1 Nd 3.01
Rh  0.9155  0.5119  0.0845  2 Nd 2.87-2.98, 2 Th 2.88, 2 Tb 2.89-2.97, 1 Rh 3.19


[2]
This record from Alexandria describes MgHgGe after structural relaxation. The functional is PBE-GGA.

E_form: -0.018 eV/atom
Spin magnetization: 0.000 μB/f.u.

abc: 3.2493 6.3707 6.4943
angles: 90.00 90.30 90.00
With the nearest neighbours (Å) after each atom.
Positions (direct):
Mg  0.0000  0.0000  0.0000  4 Ge 2.85-2.86, 4 Hg 2.97-2.98
Mg  0.0018  0.5000  0.0715  4 Ge 2.88-2.89, 4 Hg 3.20-3.22, 2 Mg 3.22
Hg  0.4935  0.2621  0.7152  1 Ge 2.72, 2 Mg 2.97-2.98, 1 Hg 3.03
Hg  0.4935  0.7379  0.7152  1 Ge 2.72, 2 Mg 2.97-2.98, 1 Hg 3.03
Ge  0.5052  0.2067  0.2995  1 Ge 2.63, 1 Hg 2.72, 4 Mg 2.85-2.89
Ge  0.5052  0.7933  0.2995  1 Ge 2.63, 1 Hg 2.72, 4 Mg 2.85-2.89


[3]
This record from Alexandria describes KLiOs after structural relaxation. The functional is PBE-GGA.

Polymorph energy (0 for the lowest one): 82 meV per atom
E_form: 0.722 eV/atom
Spin magnetization: 0.000 μB/f.u.

abc: 6.7834 6.7834 8.3216
angles: 90.39 90.39 22.97
With the nearest neighbours (Å) after each atom.
Positions (direct):
K  0.0000  0.0000  0.0000  2 K 2.70
K  0.2422  0.2422  0.3362  2 K 2.70
Li  0.0043  0.0043  0.5455  4 Li 2.70-3.01, 2 Os 2.72
Li  0.3301  0.3301  0.7079  4 Os 2.69-2.72, 4 Li 2.70-3.01
Os  0.6528  0.6528  0.7029  1 Os 2.31
Os  0.7380  0.7380  0.9454  1 Os 2.31


E_form of number 1 (TbNdTh2Rh4)? -0.753 eV/atom